Record 1
Here is a geometry-optimized Pr2Y6Ho3Th structure from Alexandria. Energies are from PBE.

Calculated values
**Crystal system**: monoclinic
**Total magnetic moment**: 0.000 μB per cell
**Fermi-level density of states**: 17.2 states/eV/cell
**Mass density**: 6.5 g/cm3
**Space-group type**: C2/m (12)
**Energy relative to the elements**: 0.034 eV per atom

a b c (Å): 6.2234 6.2234 11.8391
angles (deg): 95.03 95.03 119.95
Last column: nearest neighbours and their distance in Å.
Element x y z (fractional)
Pr 0.3335 0.6665 0.0000  3 Pr 3.59-3.60, 3 Th 3.59, 6 Y 3.60-3.61
Pr 0.6665 0.3335 0.0000  3 Pr 3.59-3.60, 3 Th 3.59, 6 Y 3.60-3.61
Y 0.9151 0.5856 0.7480  3 Ho 3.55-3.57, 6 Y 3.55-3.62, 1 Th 3.58, 2 Pr 3.60-3.61
Y 0.7556 0.7556 0.2521  3 Ho 3.55-3.58, 6 Y 3.55-3.62, 1 Th 3.58, 2 Pr 3.61
Y 0.0849 0.4144 0.2520  3 Ho 3.55-3.57, 6 Y 3.55-3.62, 1 Th 3.58, 2 Pr 3.60-3.61
Y 0.5856 0.9151 0.7480  3 Ho 3.55-3.57, 6 Y 3.55-3.62, 1 Th 3.58, 2 Pr 3.60-3.61
Y 0.2444 0.2444 0.7479  3 Ho 3.55-3.58, 6 Y 3.55-3.62, 1 Th 3.58, 2 Pr 3.61
Y 0.4144 0.0849 0.2520  3 Ho 3.55-3.57, 6 Y 3.55-3.62, 1 Th 3.58, 2 Pr 3.60-3.61
Ho 0.1670 0.8330 0.5000  6 Y 3.55-3.57, 6 Ho 3.59-3.60
Ho 0.8330 0.1670 0.5000  6 Y 3.55-3.57, 6 Ho 3.59-3.60
Ho 0.5000 0.5000 0.5000  6 Y 3.55-3.58, 6 Ho 3.59-3.60
Th 0.0000 0.0000 0.0000  6 Y 3.58, 6 Pr 3.59


Record 2
Here is a geometry-optimized PrYHoTh2 structure from Alexandria. Energies are from PBE.

Calculated values
**Crystal system**: orthorhombic
**Total magnetic moment**: 0.000 μB per cell
**Fermi-level density of states**: 15.8 states/eV/cell
**Mass density**: 8.1 g/cm3
**Space-group type**: Cmcm (63)
**Energy relative to the elements**: 0.376 eV per atom

a b c (Å): 6.7054 6.7054 8.5580
angles (deg): 113.06 90.00 90.00
Last column: nearest neighbours and their distance in Å.
Element x y z (fractional)
Pr 0.7500 0.7483 0.4966  4 Y 3.68-3.70, 4 Ho 3.69-3.72
Pr 0.2500 0.2517 0.5034  4 Y 3.68-3.70, 4 Ho 3.69-3.72
Y 0.2500 0.6518 0.3035  1 Ho 3.12, 4 Th 3.37
Y 0.7500 0.3482 0.6965  1 Ho 3.12, 4 Th 3.37
Ho 0.2500 0.8501 0.7001  1 Y 3.12, 4 Th 3.35
Ho 0.7500 0.1499 0.2999  1 Y 3.12, 4 Th 3.35
Th 0.5000 0.2498 0.0000  2 Ho 3.35, 4 Th 3.35-3.36, 2 Y 3.37
Th 0.0000 0.7502 0.0000  2 Ho 3.35, 4 Th 3.35-3.36, 2 Y 3.37
Th 0.5000 0.7502 0.0000  2 Ho 3.35, 4 Th 3.35-3.36, 2 Y 3.37
Th 0.0000 0.2498 0.0000  2 Ho 3.35, 4 Th 3.35-3.36, 2 Y 3.37


Record 3
Here is a geometry-optimized Pr2Y3Ho6Th structure from Alexandria. Energies are from PBE.

Calculated values
**Crystal system**: monoclinic
**Total magnetic moment**: 0.000 μB per cell
**Fermi-level density of states**: 16.8 states/eV/cell
**Mass density**: 7.6 g/cm3
**Space-group type**: C2/m (12)
**Energy relative to the elements**: 0.034 eV per atom

a b c (Å): 6.2019 6.2019 11.8059
angles (deg): 95.02 95.02 119.95
Last column: nearest neighbours and their distance in Å.
Element x y z (fractional)
Pr 0.3335 0.6665 0.0000  3 Pr 3.58, 6 Ho 3.58, 3 Th 3.58
Pr 0.6665 0.3335 0.0000  3 Pr 3.58, 6 Ho 3.58, 3 Th 3.58
Y 0.1670 0.8330 0.5000  6 Ho 3.55-3.57, 6 Y 3.58-3.59
Y 0.8330 0.1670 0.5000  6 Ho 3.55-3.57, 6 Y 3.58-3.59
Y 0.5000 0.5000 0.5000  6 Ho 3.55-3.58, 6 Y 3.58
Ho 0.9156 0.5864 0.7493  6 Ho 3.54-3.61, 3 Y 3.55-3.57, 1 Th 3.56, 2 Pr 3.58
Ho 0.7554 0.7554 0.2508  6 Ho 3.54-3.61, 3 Y 3.55-3.58, 1 Th 3.56, 2 Pr 3.58
Ho 0.0844 0.4136 0.2507  6 Ho 3.54-3.61, 3 Y 3.55-3.57, 1 Th 3.56, 2 Pr 3.58
Ho 0.5864 0.9156 0.7493  6 Ho 3.54-3.61, 3 Y 3.55-3.57, 1 Th 3.56, 2 Pr 3.58
Ho 0.2446 0.2446 0.7492  6 Ho 3.54-3.61, 3 Y 3.55-3.58, 1 Th 3.56, 2 Pr 3.58
Ho 0.4136 0.0844 0.2507  6 Ho 3.54-3.61, 3 Y 3.55-3.57, 1 Th 3.56, 2 Pr 3.58
Th 0.0000 0.0000 0.0000  6 Ho 3.56, 6 Pr 3.58


Record 4
Here is a geometry-optimized PrY2HoTh structure from Alexandria. Energies are from PBE.

Calculated values
**Crystal system**: monoclinic
**Total magnetic moment**: 0.000 μB per cell
**Fermi-level density of states**: 14.5 states/eV/cell
**Mass density**: 6.8 g/cm3
**Space-group type**: P2/c (13)
**Energy relative to the elements**: 0.339 eV per atom

a b c (Å): 6.4552 8.6626 6.3327
angles (deg): 98.84 90.00 90.00
Last column: nearest neighbours and their distance in Å.
Element x y z (fractional)
Pr 0.0000 0.0000 0.0000  2 Pr 3.17, 2 Th 3.31, 2 Y 3.49
Pr 0.0000 0.0000 0.5000  2 Pr 3.17, 2 Th 3.31, 2 Y 3.49
Y 0.6847 0.6850 0.7967  1 Y 3.17, 1 Th 3.17, 1 Pr 3.49, 1 Ho 3.52
Y 0.6847 0.3150 0.7033  1 Y 3.17, 1 Th 3.17, 1 Pr 3.49, 1 Ho 3.52
Y 0.3153 0.6850 0.2967  1 Y 3.17, 1 Th 3.17, 1 Pr 3.49, 1 Ho 3.52
Y 0.3153 0.3150 0.2033  1 Y 3.17, 1 Th 3.17, 1 Pr 3.49, 1 Ho 3.52
Ho 0.1722 0.5000 0.7500  8 Y 3.52-3.70, 2 Ho 3.87
Ho 0.8278 0.5000 0.2500  8 Y 3.52-3.70, 2 Ho 3.87
Th 0.5489 0.0000 0.2500  2 Y 3.17, 2 Th 3.23, 2 Pr 3.31
Th 0.4511 0.0000 0.7500  2 Y 3.17, 2 Th 3.23, 2 Pr 3.31


Record 5
Here is a geometry-optimized PrYHoTh structure from Alexandria. Energies are from PBE.

Calculated values
**Crystal system**: trigonal
**Total magnetic moment**: 0.001 μB per cell
**Fermi-level density of states**: 6.0 states/eV/cell
**ΔE to the lowest computed polymorph**: 0 meV per atom
**Mass density**: 7.9 g/cm3
**Space-group type**: R3m (160)
**Energy relative to the elements**: 0.015 eV per atom

a b c (Å): 3.6103 3.6097 11.8146
angles (deg): 90.00 98.80 119.99
Last column: nearest neighbours and their distance in Å.
Element x y z (fractional)
Pr 0.9713 0.3839 0.3706  6 Pr 3.61, 3 Ho 3.63, 3 Y 3.70
Y 0.1302 0.9632 0.1078  3 Th 3.51, 6 Y 3.61, 3 Pr 3.70
Ho 0.4753 0.1354 0.6261  3 Th 3.47, 6 Ho 3.61, 3 Pr 3.63
Th 0.3011 0.5484 0.8651  3 Ho 3.47, 3 Y 3.51, 6 Th 3.61


Record 6
Here is a geometry-optimized PrY3Ho6Th2 structure from Alexandria. Energies are from PBE.

Calculated values
**Crystal system**: monoclinic
**Total magnetic moment**: 0.000 μB per cell
**Fermi-level density of states**: 17.7 states/eV/cell
**Mass density**: 8.1 g/cm3
**Space-group type**: C2/m (12)
**Energy relative to the elements**: 0.034 eV per atom

a b c (Å): 6.1869 6.1869 11.7534
angles (deg): 95.05 95.05 119.95
Last column: nearest neighbours and their distance in Å.
Element x y z (fractional)
Pr 0.0000 0.0000 0.0000  6 Ho 3.55, 6 Th 3.57
Y 0.1664 0.8336 0.5000  6 Ho 3.55-3.58, 6 Y 3.56-3.58
Y 0.8336 0.1664 0.5000  6 Ho 3.55-3.58, 6 Y 3.56-3.58
Y 0.5000 0.5000 0.5000  6 Ho 3.56-3.58, 6 Y 3.57
Ho 0.9163 0.5781 0.7519  2 Th 3.52-3.53, 6 Ho 3.55-3.63, 3 Y 3.55-3.58, 1 Pr 3.55
Ho 0.7453 0.7453 0.2482  2 Th 3.53, 6 Ho 3.55-3.63, 1 Pr 3.55, 3 Y 3.56-3.58
Ho 0.0837 0.4219 0.2481  2 Th 3.52-3.53, 6 Ho 3.55-3.63, 3 Y 3.55-3.58, 1 Pr 3.55
Ho 0.5781 0.9163 0.7519  2 Th 3.52-3.53, 6 Ho 3.55-3.63, 3 Y 3.55-3.58, 1 Pr 3.55
Ho 0.2547 0.2547 0.7518  2 Th 3.53, 6 Ho 3.55-3.63, 1 Pr 3.55, 3 Y 3.56-3.58
Ho 0.4219 0.0837 0.2481  2 Th 3.52-3.53, 6 Ho 3.55-3.63, 3 Y 3.55-3.58, 1 Pr 3.55
Th 0.3333 0.6667 0.0000  6 Ho 3.52-3.53, 3 Pr 3.57, 3 Th 3.57
Th 0.6667 0.3333 0.0000  6 Ho 3.52-3.53, 3 Pr 3.57, 3 Th 3.57


Record 7
Here is a geometry-optimized Pr6YHo2Th structure from Alexandria. Energies are from PBE.

Calculated values
**Crystal system**: monoclinic
**Total magnetic moment**: 0.000 μB per cell
**Fermi-level density of states**: 28.6 states/eV/cell
**Mass density**: 7.2 g/cm3
**Space-group type**: C2/c (15)
**Energy relative to the elements**: 0.140 eV per atom

a b c (Å): 9.8424 8.9295 8.9295
angles (deg): 116.53 94.38 94.38
Last column: nearest neighbours and their distance in Å.
Element x y z (fractional)
Pr 0.0571 0.1077 0.7598  7 Pr 3.48-3.89, 2 Ho 3.52-3.80, 2 Th 3.63-3.86
Pr 0.4429 0.2402 0.8923  7 Pr 3.48-3.89, 2 Ho 3.52-3.80, 2 Th 3.63-3.86
Pr 0.9429 0.8923 0.2402  7 Pr 3.48-3.89, 2 Ho 3.52-3.80, 2 Th 3.63-3.86
Pr 0.5571 0.7598 0.1077  7 Pr 3.48-3.89, 2 Ho 3.52-3.80, 2 Th 3.63-3.86
Pr 0.3136 0.9897 0.4258  2 Pr 3.36-3.76, 1 Th 3.47, 1 Y 3.47, 1 Ho 3.50
Pr 0.1864 0.5742 0.0103  2 Pr 3.36-3.76, 1 Th 3.47, 1 Y 3.47, 1 Ho 3.50
Pr 0.6864 0.0103 0.5742  2 Pr 3.36-3.76, 1 Th 3.47, 1 Y 3.47, 1 Ho 3.50
Pr 0.8136 0.4258 0.9897  2 Pr 3.36-3.76, 1 Th 3.47, 1 Y 3.47, 1 Ho 3.50
Pr 0.1196 0.7013 0.4887  3 Ho 3.33-3.51, 3 Pr 3.33-3.48, 2 Y 3.45-3.62
Pr 0.3804 0.5113 0.2987  3 Ho 3.33-3.51, 3 Pr 3.33-3.48, 2 Y 3.45-3.62
Pr 0.8804 0.2987 0.5113  3 Ho 3.33-3.51, 3 Pr 3.33-3.48, 2 Y 3.45-3.62
Pr 0.6196 0.4887 0.7013  3 Ho 3.33-3.51, 3 Pr 3.33-3.48, 2 Y 3.45-3.62
Y 0.2500 0.4076 0.5924  6 Pr 3.45-3.62, 2 Ho 3.55
Y 0.7500 0.5924 0.4076  6 Pr 3.45-3.62, 2 Ho 3.55
Ho 0.4500 0.8008 0.7116  5 Pr 3.33-3.52, 2 Th 3.42-3.47, 1 Y 3.55
Ho 0.0500 0.2884 0.1992  5 Pr 3.33-3.52, 2 Th 3.42-3.47, 1 Y 3.55
Ho 0.5500 0.1992 0.2884  5 Pr 3.33-3.52, 2 Th 3.42-3.47, 1 Y 3.55
Ho 0.9500 0.7116 0.8008  5 Pr 3.33-3.52, 2 Th 3.42-3.47, 1 Y 3.55
Th 0.2500 0.9707 0.0293  4 Ho 3.42-3.47, 4 Pr 3.47-3.63
Th 0.7500 0.0293 0.9707  4 Ho 3.42-3.47, 4 Pr 3.47-3.63


Record 8
Here is a geometry-optimized Pr2Y4Ho2Th structure from Alexandria. Energies are from PBE.

Calculated values
**Crystal system**: monoclinic
**Total magnetic moment**: 0.000 μB per cell
**Fermi-level density of states**: 12.9 states/eV/cell
**Mass density**: 6.7 g/cm3
**Space-group type**: C2/m (12)
**Energy relative to the elements**: 0.002 eV per atom

a b c (Å): 3.6246 9.6043 9.6082
angles (deg): 115.34 90.00 100.88
Last column: nearest neighbours and their distance in Å.
Element x y z (fractional)
Pr 0.3363 0.6725 0.9997  3 Y 3.52-3.55, 2 Th 3.58, 3 Ho 3.61-3.62, 4 Pr 3.62-3.73
Pr 0.6637 0.3275 0.0003  3 Y 3.52-3.55, 2 Th 3.58, 3 Ho 3.61-3.62, 4 Pr 3.62-3.73
Y 0.8152 0.6304 0.6658  3 Ho 3.52-3.63, 2 Pr 3.55, 6 Y 3.56-3.62, 1 Th 3.56
Y 0.1848 0.3696 0.3342  3 Ho 3.52-3.63, 2 Pr 3.55, 6 Y 3.56-3.62, 1 Th 3.56
Y 0.5184 0.0368 0.3308  1 Pr 3.52, 2 Th 3.54, 4 Ho 3.55-3.64, 5 Y 3.61-3.62
Y 0.4816 0.9632 0.6692  1 Pr 3.52, 2 Th 3.54, 4 Ho 3.55-3.64, 5 Y 3.61-3.62
Ho 0.8526 0.7052 0.3378  7 Y 3.52-3.64, 3 Pr 3.61-3.62, 2 Ho 3.62
Ho 0.1474 0.2948 0.6622  7 Y 3.52-3.64, 3 Pr 3.61-3.62, 2 Ho 3.62
Th 0.0000 0.0000 0.0000  6 Y 3.54-3.56, 4 Pr 3.58, 2 Th 3.62


Record 9
Here is a geometry-optimized PrHoTi structure from Alexandria. Energies are from PBE.

Calculated values
**Crystal system**: tetragonal
**Total magnetic moment**: 0.002 μB per cell
**Fermi-level density of states**: 10.0 states/eV/cell
**Mass density**: 7.0 g/cm3
**Space-group type**: P4/nmm (129)
**Energy relative to the elements**: 0.090 eV per atom

a b c (Å): 3.5881 3.5881 13.0774
angles (deg): 90.00 90.00 90.00
Last column: nearest neighbours and their distance in Å.
Element x y z (fractional)
Pr 0.0000 0.5000 0.6021  8 Pr 3.59-3.68, 4 Ho 3.71
Pr 0.5000 0.0000 0.3979  8 Pr 3.59-3.68, 4 Ho 3.71
Ho 0.5000 0.0000 0.8086  5 Ti 3.05-3.20
Ho 0.0000 0.5000 0.1914  5 Ti 3.05-3.20
Ti 0.0000 0.5000 0.9579  4 Ti 2.77, 1 Ho 3.05
Ti 0.5000 0.0000 0.0421  4 Ti 2.77, 1 Ho 3.05


Record 10
Here is a geometry-optimized PrHo2Tl4 structure from Alexandria. Energies are from PBE.

Calculated values
**Crystal system**: trigonal
**Total magnetic moment**: 0.001 μB per cell
**Fermi-level density of states**: 4.9 states/eV/cell
**ΔE to the lowest computed polymorph**: 87 meV per atom
**Mass density**: 10.0 g/cm3
**Space-group type**: R-3m (166)
**Energy relative to the elements**: -0.122 eV per atom

a b c (Å): 4.9130 4.9130 10.5948
angles (deg): 76.59 76.59 60.00
Last column: nearest neighbours and their distance in Å.
Element x y z (fractional)
Pr 0.0000 0.0000 0.0000  6 Tl 3.26
Ho 0.1302 0.1302 0.6094  4 Tl 3.06-3.39
Ho 0.8698 0.8698 0.3906  4 Tl 3.06-3.39
Tl 0.3860 0.3860 0.8419  3 Tl 3.09, 3 Pr 3.26
Tl 0.2409 0.2409 0.2772  4 Ho 3.06-3.39, 3 Tl 3.09
Tl 0.7591 0.7591 0.7228  4 Ho 3.06-3.39, 3 Tl 3.09
Tl 0.6140 0.6140 0.1581  3 Tl 3.09, 3 Pr 3.26


Q: Which formula does entry 6 have?
A: PrY3Ho6Th2